(1)
The following is a GGA-PBE calculation of crystalline BeInAu2 at its relaxed geometry, from Alexandria.

Results
Excess energy over the best structure of this formula in the dataset in kJ/mol of atoms: 5.9
Formation enthalpy at 0 K in eV per atom: -0.01
Final energy in eV/cell: -26.13

a b c (Å): 3.0317 5.0731 9.0849
angles (deg): 90.00 90.00 90.00
Last column: nearest neighbours and their distance in Å.
Space group Immm (No. 71)
One atom of each set of equivalent atoms:
Be (0.0000, 0.0000, 0.0000)  4 Au 2.36
In (0.0000, 0.0000, 0.5000)  4 Be 2.95, 2 In 3.03, 8 Au 3.11-3.13
Au (0.0000, 0.5000, 0.3015)  2 Be 2.36


(2)
The following is a GGA-PBE calculation of crystalline BeIn3Au at its relaxed geometry, from Alexandria.

Results
Excess energy over the best structure of this formula in the dataset in kJ/mol of atoms: 35.7
Formation enthalpy at 0 K in eV per atom: 0.64
Final energy in eV/cell: -12.04

a b c (Å): 5.3446 5.3446 5.3446
angles (deg): 90.00 90.00 90.00
Last column: nearest neighbours and their distance in Å.
Space group Pm-3m (No. 221)
One atom of each set of equivalent atoms:
Be (0.0000, 0.0000, 0.0000)  12 In 3.78
In (0.0000, 0.5000, 0.5000)  2 Au 2.67
Au (0.5000, 0.5000, 0.5000)  6 In 2.67


(3)
The following is a GGA-PBE calculation of crystalline Be2InAu at its relaxed geometry, from Alexandria.

Results
Formation enthalpy at 0 K in eV per atom: 0.31
Final energy in eV/cell: -36.69

a b c (Å): 3.0264 3.0264 23.6448
angles (deg): 90.00 90.00 120.00
Last column: nearest neighbours and their distance in Å.
Space group R-3m (No. 166, hexagonal axes)
One atom of each set of equivalent atoms:
Be (0.0000, 0.0000, 0.2408)  3 Au 2.48
In (0.0000, 0.0000, 0.0000)  6 Be 2.80, 6 In 3.03
Au (0.0000, 0.0000, 0.5000)  6 Be 2.48


(4)
The following is a GGA-PBE calculation of crystalline BeInAu at its relaxed geometry, from Alexandria.

Results
Excess energy over the best structure of this formula in the dataset in kJ/mol of atoms: 0.0
Formation enthalpy at 0 K in eV per atom: -0.11
Final energy in eV/cell: -20.14

a b c (Å): 3.6747 3.6747 7.8037
angles (deg): 90.00 90.00 90.00
Last column: nearest neighbours and their distance in Å.
Space group P4/nmm (No. 129, origin choice 2)
One atom of each set of equivalent atoms:
Be (0.2500, 0.7500, 0.0000)  4 Au 2.39, 4 Be 2.60
In (0.2500, 0.2500, 0.3744)  4 Au 2.95, 4 In 3.25
Au (0.2500, 0.2500, 0.8043)  4 Be 2.39


(5)
The following is a GGA-PBE calculation of crystalline BeIn2Au at its relaxed geometry, from Alexandria.

Results
Formation enthalpy at 0 K in eV per atom: 0.29
Final energy in eV/cell: -22.62

a b c (Å): 4.2309 4.2309 8.6601
angles (deg): 90.00 90.00 90.00
Last column: nearest neighbours and their distance in Å.
Space group I-4m2 (No. 119)
One atom of each set of equivalent atoms:
Be (0.0000, 0.0000, 0.0000)  8 In 2.99-3.03, 4 Au 3.03
In (0.0000, 0.0000, 0.5000)  4 Be 2.99, 4 In 3.03, 4 Au 3.03
In (0.0000, 0.5000, 0.7500)  4 Au 2.99, 4 In 3.03, 4 Be 3.03
Au (0.0000, 0.5000, 0.2500)  8 In 2.99-3.03, 4 Be 3.03


(6)
The following is a GGA-PBE calculation of crystalline BeInAu2 at its relaxed geometry, from Alexandria.

Results
Excess energy over the best structure of this formula in the dataset in kJ/mol of atoms: 1.0
Formation enthalpy at 0 K in eV per atom: -0.06
Final energy in eV/cell: -13.27

a b c (Å): 3.1020 3.0217 7.4971
angles (deg): 90.00 99.23 90.00
Last column: nearest neighbours and their distance in Å.
Space group P2/m (No. 10)
One atom of each set of equivalent atoms:
Be (0.0000, 0.0000, 0.0000)  8 Au 2.56-2.60
In (0.0000, 0.0000, 0.5000)  4 Au 2.90, 4 In 3.02-3.10
Au (0.4170, 0.5000, 0.8105)  4 Be 2.56-2.60, 1 Au 2.81


(7)
The following is a GGA-PBE calculation of crystalline Be2InAu at its relaxed geometry, from Alexandria.

Results
Formation enthalpy at 0 K in eV per atom: 0.21
Final energy in eV/cell: -12.63

a b c (Å): 3.2107 3.2107 5.7521
angles (deg): 90.00 90.00 90.00
Last column: nearest neighbours and their distance in Å.
Space group P4mm (No. 99)
One atom of each set of equivalent atoms:
Be (0.0000, 0.0000, 0.0000)  4 Au 2.52, 4 Be 2.56, 1 In 2.65
Be (0.5000, 0.5000, 0.2062)  1 Au 2.27
In (0.0000, 0.0000, 0.4609)  5 Be 2.65-2.70
Au (0.5000, 0.5000, 0.8108)  5 Be 2.27-2.52


(8)
The following is a GGA-PBE calculation of crystalline BeInAu2 at its relaxed geometry, from Alexandria.

Results
Excess energy over the best structure of this formula in the dataset in kJ/mol of atoms: 26.8
Formation enthalpy at 0 K in eV per atom: 0.21
Final energy in eV/cell: -48.79

a b c (Å): 6.5173 6.5173 6.5173
angles (deg): 90.00 90.00 90.00
Last column: nearest neighbours and their distance in Å.
Space group F-43m (No. 216)
One atom of each set of equivalent atoms:
Be (0.0000, 0.0000, 0.0000)  4 In 2.82, 4 Au 2.82
In (0.2500, 0.2500, 0.2500)  4 Au 2.82, 4 Be 2.82
Au (0.0000, 0.0000, 0.5000)  4 Au 2.82, 4 In 2.82
Au (0.2500, 0.2500, 0.7500)  4 Be 2.82, 4 Au 2.82


(9)
The following is a GGA-PBE calculation of crystalline La2BeInAu6 at its relaxed geometry, from Alexandria.

Results
Formation enthalpy at 0 K in eV per atom: -0.49
Final energy in eV/cell: -40.86

a b c (Å): 6.3363 6.4093 7.3448
angles (deg): 65.32 89.85 60.67
Last column: nearest neighbours and their distance in Å.
Space group P-1 (No. 2)
One atom of each set of equivalent atoms:
La (0.2483, 0.0040, 0.1913)  9 Au 3.20-3.49
Be (0.0000, 0.5000, 0.5000)  6 Au 2.28
In (0.5000, 0.5000, 0.0000)  6 Au 2.73-2.79
Au (0.1991, 0.6298, 0.6446)  1 Be 2.28
Au (0.2269, 0.0479, 0.7372)  1 Be 2.28
Au (0.3328, 0.3701, 0.3592)  1 Be 2.28


(10)
The following is a GGA-PBE calculation of crystalline LiBeInAu at its relaxed geometry, from Alexandria.

Results
Formation enthalpy at 0 K in eV per atom: -0.15
Final energy in eV/cell: -49.00

a b c (Å): 6.2197 6.2197 6.2197
angles (deg): 90.00 90.00 90.00
Last column: nearest neighbours and their distance in Å.
Space group F-43m (No. 216)
One atom of each set of equivalent atoms:
Li (0.0000, 0.0000, 0.0000)  4 In 2.69, 4 Au 2.69
Be (0.0000, 0.0000, 0.5000)  4 In 2.69, 4 Au 2.69
In (0.2500, 0.2500, 0.2500)  4 Li 2.69, 4 Be 2.69
Au (0.2500, 0.2500, 0.7500)  4 Li 2.69, 4 Be 2.69


(11)
The following is a GGA-PBE calculation of crystalline Na2Be2InAu5 at its relaxed geometry, from Alexandria.

Results
Formation enthalpy at 0 K in eV per atom: -0.25
Final energy in eV/cell: -63.52

a b c (Å): 10.3953 10.3953 3.3214
angles (deg): 90.00 90.00 90.00
Last column: nearest neighbours and their distance in Å.
Space group P4/mbm (No. 127)
One atom of each set of equivalent atoms:
Na (0.1777, 0.3223, 0.0000)  3 Be 2.99-3.14, 10 Au 3.10-3.23, 2 Na 3.32
Be (0.1189, 0.6189, 0.0000)  6 Au 2.41
In (0.0000, 0.0000, 0.0000)  8 Au 2.92
Au (0.0000, 0.5000, 0.5000)  4 Be 2.41
Au (0.0683, 0.7794, 0.5000)  2 Be 2.41


(12)
The following is a GGA-PBE calculation of crystalline Na2BeInAu6 at its relaxed geometry, from Alexandria.

Results
Formation enthalpy at 0 K in eV per atom: -0.18
Final energy in eV/cell: -30.55

a b c (Å): 6.4753 6.4754 7.3772
angles (deg): 116.02 90.00 119.93
Last column: nearest neighbours and their distance in Å.
Space group P-1 (No. 2)
One atom of each set of equivalent atoms:
Na (0.2279, 0.4548, 0.1812)  9 Au 3.40-3.46
Be (0.0000, 0.0000, 0.5000)  6 Au 2.29-2.30
In (0.5000, 0.0000, 0.0000)  6 Au 2.75
Au (0.2359, 0.4729, 0.6568)  1 Be 2.30
Au (0.2360, 0.9188, 0.6559)  1 Be 2.29
Au (0.3176, 0.0810, 0.3445)  1 Be 2.30


(13)
The following is a GGA-PBE calculation of crystalline Pm2BeInAu6 at its relaxed geometry, from Alexandria.

Results
Formation enthalpy at 0 K in eV per atom: -0.50
Final energy in eV/cell: -40.64

a b c (Å): 4.6737 6.4692 8.1301
angles (deg): 70.58 89.93 68.84
Last column: nearest neighbours and their distance in Å.
Space group P-1 (No. 2)
One atom of each set of equivalent atoms:
Pm (0.2312, 0.0367, 0.2923)  8 Au 3.03-3.35
Be (0.5000, 0.5000, 0.0000)  2 Au 2.25
In (0.0000, 0.5000, 0.5000)  6 Au 2.83-2.98
Au (0.0533, 0.3944, 0.8681)  2 Be 2.74, 1 In 2.83, 6 Au 2.86-2.98
Au (0.3061, 0.8880, 0.9600)  1 Be 2.25
Au (0.4249, 0.6513, 0.6609)  1 Be 2.58


(14)
The following is a GGA-PBE calculation of crystalline PmBeInAu at its relaxed geometry, from Alexandria.

Results
Formation enthalpy at 0 K in eV per atom: -0.27
Final energy in eV/cell: -62.24

a b c (Å): 6.8977 6.8977 6.8977
angles (deg): 90.00 90.00 90.00
Last column: nearest neighbours and their distance in Å.
Space group F-43m (No. 216)
One atom of each set of equivalent atoms:
Pm (0.0000, 0.0000, 0.0000)  4 Au 2.99, 4 Be 2.99
Be (0.2500, 0.2500, 0.2500)  4 In 2.99, 4 Pm 2.99
In (0.0000, 0.0000, 0.5000)  4 Be 2.99, 4 Au 2.99
Au (0.2500, 0.2500, 0.7500)  4 In 2.99, 4 Pm 2.99


(15)
The following is a GGA-PBE calculation of crystalline ScBe2InAu at its relaxed geometry, from Alexandria.

Results
Formation enthalpy at 0 K in eV per atom: 0.23
Final energy in eV/cell: -18.65

a b c (Å): 4.4370 4.4370 5.2149
angles (deg): 90.00 90.00 90.00
Last column: nearest neighbours and their distance in Å.
Space group P4/mmm (No. 123)
One atom of each set of equivalent atoms:
Sc (0.0000, 0.0000, 0.0000)  2 Au 2.61
Be (0.0000, 0.5000, 0.5000)  2 Au 2.22
In (0.5000, 0.5000, 0.0000)  4 Sc 3.14, 8 Be 3.42
Au (0.0000, 0.0000, 0.5000)  4 Be 2.22


(16)
The following is a GGA-PBE calculation of crystalline BeInSi2Au at its relaxed geometry, from Alexandria.

Results
Raw formation energy in eV per formula unit: 2.758
Final energy in eV/cell: -17.83

a b c (Å): 4.3140 4.3140 4.9947
angles (deg): 90.00 90.00 90.00
Last column: nearest neighbours and their distance in Å.
Space group P4/mmm (No. 123)
One atom of each set of equivalent atoms:
Be (0.0000, 0.0000, 0.0000)  4 Si 2.16
In (0.0000, 0.0000, 0.5000)  2 Be 2.50
Si (0.0000, 0.5000, 0.0000)  2 Be 2.16
Au (0.5000, 0.5000, 0.5000)  4 In 3.05, 8 Si 3.30


(17)
The following is a GGA-PBE calculation of crystalline Be2TlInAu at its relaxed geometry, from Alexandria.

Results
Formation enthalpy at 0 K in eV per atom: 0.39
Final energy in eV/cell: -13.87

a b c (Å): 4.5430 4.5430 5.3559
angles (deg): 90.00 90.00 90.00
Last column: nearest neighbours and their distance in Å.
Space group P4/mmm (No. 123)
One atom of each set of equivalent atoms:
Be (0.0000, 0.5000, 0.0000)  2 Au 2.27
Tl (0.0000, 0.0000, 0.5000)  4 In 3.21, 8 Be 3.51
In (0.5000, 0.5000, 0.5000)  2 Au 2.68
Au (0.5000, 0.5000, 0.0000)  4 Be 2.27


(18)
The following is a GGA-PBE calculation of crystalline YBeInAu2 at its relaxed geometry, from Alexandria.

Results
Formation enthalpy at 0 K in eV per atom: 0.28
Final energy in eV/cell: -18.09

a b c (Å): 5.1608 5.1608 4.4943
angles (deg): 90.00 90.00 90.00
Last column: nearest neighbours and their distance in Å.
Space group P4/mmm (No. 123)
One atom of each set of equivalent atoms:
Y (0.0000, 0.0000, 0.0000)  8 Au 3.42, 4 Be 3.65
Be (0.5000, 0.5000, 0.0000)  2 In 2.25
In (0.5000, 0.5000, 0.5000)  2 Be 2.25
Au (0.0000, 0.5000, 0.5000)  2 In 2.58


(19)
The following is a GGA-PBE calculation of crystalline Y2BeInAu at its relaxed geometry, from Alexandria.

Results
Formation enthalpy at 0 K in eV per atom: 0.37
Final energy in eV/cell: -20.80

a b c (Å): 5.6950 5.6950 4.3388
angles (deg): 90.00 90.00 90.00
Last column: nearest neighbours and their distance in Å.
Space group P4/mmm (No. 123)
One atom of each set of equivalent atoms:
Y (0.0000, 0.5000, 0.0000)  2 In 2.85
Be (0.0000, 0.0000, 0.5000)  2 In 2.17
In (0.0000, 0.0000, 0.0000)  2 Be 2.17
Au (0.5000, 0.5000, 0.5000)  8 Y 3.58


(20)
The following is a GGA-PBE calculation of crystalline BeZn2InAu at its relaxed geometry, from Alexandria.

Results
Formation enthalpy at 0 K in eV per atom: 0.16
Final energy in eV/cell: -11.47

a b c (Å): 4.4498 4.4498 4.6201
angles (deg): 90.00 90.00 90.00
Last column: nearest neighbours and their distance in Å.
Space group P4/mmm (No. 123)
One atom of each set of equivalent atoms:
Be (0.0000, 0.0000, 0.0000)  4 Zn 2.22, 2 Au 2.31
Zn (0.0000, 0.5000, 0.0000)  2 Be 2.22
In (0.5000, 0.5000, 0.5000)  4 Au 3.15, 8 Zn 3.21
Au (0.0000, 0.0000, 0.5000)  2 Be 2.31